(1)
A plane-wave DFT calculation with PBE was carried out for an optimized crystal structure of TmPa2Nb.

Cell and atoms, written as extended XYZ:
```
4
Lattice="-2.7442 -1.8756 -0.9183 -0.2899 -1.1597 3.2347 -5.0306 6.4490 1.8613" Properties=species:S:1:pos:R:3 pbc="T T T"
Pa -1.0881 1.3949 0.4026
Tm -4.0323 1.7069 2.0888
Nb -1.5170 -1.5176 1.1582
Pa -3.9425 5.0541 1.4587
```

Polymorph energy (0 for the lowest one)   0 meV/atom
Space group   P4/mmm
Theoretical density   12.051 g/cm³
Total energy   -32.54 eV/f.u.
Energy of formation from the pure elements   248 meV per atom

(2)
A plane-wave DFT calculation with PBE was carried out for an optimized crystal structure of Co2SbSe.

Cell and atoms, written as extended XYZ:
```
4
Lattice="4.2479 0.0162 0.1051 3.0721 2.9338 0.1051 0.8495 0.3424 5.9390" Properties=species:S:1:pos:R:3 pbc="T T T"
Co 0.0466 0.0188 0.0125
Co 2.0293 0.8178 1.2607
Se 6.1123 2.4633 5.5381
Sb 4.0661 1.6387 2.4125
```

Space group   Cm
Theoretical density   7.206 g/cm³
Formation energy (no corrections)   47 meV per atom
Total energy   -21.63 eV/f.u.

(3)
A plane-wave DFT calculation with PBE was carried out for an optimized crystal structure of Fe2MoBr.

Cell and atoms, written as extended XYZ:
```
4
Lattice="5.1321 -0.0135 0.0017 2.3033 4.5862 -0.0017 -3.1902 -3.1441 2.5051" Properties=species:S:1:pos:R:3 pbc="T T T"
Mo 3.7290 2.2933 0.0000
Fe 7.3631 4.5282 0.0000
Br 1.3403 1.8180 1.2517
Fe 2.9659 -0.3519 1.2534
```

Polymorph energy (0 for the lowest one)   376 meV/atom
Space group   Imm2
Theoretical density   8.089 g/cm³
Formation energy (no corrections)   801 meV per atom
Total energy   -26.23 eV/f.u.

(4)
A plane-wave DFT calculation with PBE was carried out for an optimized crystal structure of Tb6PmHo2Tm.

Cell and atoms, written as extended XYZ:
```
20
Lattice="-7.5722 5.1071 2.7049 -3.4034 -1.9284 -7.8607 -0.9753 -5.8977 6.4311" Properties=species:S:1:pos:R:3 pbc="T T T"
Ho -10.3715 -1.1861 2.2554
Ho -1.5794 -1.5328 -0.9801
Tm -8.0874 0.2752 0.0254
Tb -3.7897 -3.6587 -2.0850
Tb -5.7839 0.1309 5.3660
Tb -4.9013 -0.7536 -1.0893
Tb -1.5759 -4.3863 4.0225
Ho -5.1127 0.6076 1.8601
Tb -10.3750 1.6674 -2.7472
Tb -8.6175 -2.4794 5.1224
Tb -8.1612 0.9398 3.3603
Ho -6.8382 -3.3265 -0.5848
Pm -5.2356 -0.7511 -6.8263
Tm -3.8635 -2.9941 1.2499
Tb -6.1670 -2.8498 -4.0907
Tb -6.8898 0.6648 -3.6178
Tb -3.3333 -0.2395 -3.8471
Pm -6.7153 -1.9678 8.1016
Tb -7.0496 -1.9653 2.3646
Tb -5.0611 -3.3837 4.8931
```

Space group   C2/c
Theoretical density   8.224 g/cm³
Total energy   -44.97 eV/f.u.
Energy of formation from the pure elements   119 meV per atom

(5)
A plane-wave DFT calculation with PBE was carried out for an optimized crystal structure of BaAc3Tl4.

Cell and atoms, written as extended XYZ:
```
16
Lattice="-2.4673 -3.7014 -3.9404 5.5578 -5.7627 1.9331 -7.2504 -4.1592 8.4467" Properties=species:S:1:pos:R:3 pbc="T T T"
Ac -3.8917 -7.8502 5.3327
Ac -3.0473 -2.8921 0.1397
Tl -6.5602 -8.2123 2.8638
Ac -0.2682 -5.7731 1.1067
Ba 2.7789 -2.8813 0.9665
Tl -3.6899 -11.1885 3.8621
Ac 0.0000 0.0000 0.0000
Tl -0.4700 -2.4348 2.5772
Tl -0.6448 -8.2997 3.7188
Tl 2.4003 -5.4109 3.5756
Tl 2.9804 -6.2201 -0.5045
Ba -0.8463 -4.9609 5.1899
Ac -3.6252 -2.0796 4.2234
Tl -3.5151 -5.3235 2.7205
Ac -6.6704 -4.9685 4.3665
Tl 0.1101 -3.2439 -1.5029
```

Polymorph energy (0 for the lowest one)   0 meV/atom
Space group   P4/mmm
Theoretical density   9.341 g/cm³
Total energy   -26.51 eV/f.u.
Energy of formation from the pure elements   -350 meV per atom

(6)
A plane-wave DFT calculation with PBE was carried out for an optimized crystal structure of Li2Nd2AlPd5.

Cell and atoms, written as extended XYZ:
```
20
Lattice="3.5958 0.0000 0.0000 0.0000 9.8187 0.0000 0.0000 0.0000 9.8187" Properties=species:S:1:pos:R:3 pbc="T T T"
Li 0.0000 1.1994 6.1088
Pd 1.7979 6.8811 4.3108
Pd 1.7979 9.2202 1.9718
Al 0.0000 0.0000 0.0000
Pd 1.7979 4.9094 0.0000
Nd 0.0000 1.7460 3.1634
Li 0.0000 6.1088 8.6193
Nd 0.0000 8.0727 6.6553
Nd 0.0000 3.1634 8.0727
Nd 0.0000 6.6553 1.7460
Pd 1.7979 0.0000 4.9094
Pd 1.7979 7.8469 9.2202
Al 0.0000 4.9094 4.9094
Pd 1.7979 5.5079 6.8811
Li 0.0000 3.7099 1.1994
Li 0.0000 8.6193 3.7099
Pd 1.7979 4.3108 2.9376
Pd 1.7979 0.5985 7.8469
Pd 1.7979 1.9718 0.5985
Pd 1.7979 2.9376 5.5079
```

Space group   P4/mbm
Theoretical density   8.253 g/cm³
Total energy   -49.72 eV/f.u.
Energy of formation from the pure elements   -665 meV per atom

(7)
A plane-wave DFT calculation with PBE was carried out for an optimized crystal structure of BaMgAgHg.

Cell and atoms, written as extended XYZ:
```
4
Lattice="4.9316 0.0000 0.0000 -2.4658 4.2627 -0.0083 0.0000 -2.8449 5.7293" Properties=species:S:1:pos:R:3 pbc="T T T"
Mg 0.0000 -1.8267 5.5797
Hg 2.4658 2.4376 0.6147
Ag 0.0000 1.0133 5.1020
Ba 2.4658 -0.4054 2.8238
```

Polymorph energy (0 for the lowest one)   0 meV/atom
Space group   Cm
Theoretical density   6.487 g/cm³
Total energy   -7.94 eV/f.u.
Energy of formation from the pure elements   -317 meV per atom

(8)
A plane-wave DFT calculation with PBE was carried out for an optimized crystal structure of CeGdZnPt.

Cell and atoms, written as extended XYZ:
```
4
Lattice="5.0647 0.0000 0.0000 2.5324 4.3862 0.0000 2.5324 1.4621 4.1353" Properties=species:S:1:pos:R:3 pbc="T T T"
Ce 5.0647 2.9241 2.0677
Pt 7.5971 4.3862 3.1015
Zn 2.5324 1.4621 1.0338
Gd 0.0000 0.0000 0.0000
```

Space group   F-43m
Theoretical density   10.084 g/cm³
Total energy   -29.94 eV/f.u.
Energy of formation from the pure elements   -653 meV per atom

(9)
A plane-wave DFT calculation with PBE was carried out for an optimized crystal structure of YTi2POs.

Cell and atoms, written as extended XYZ:
```
5
Lattice="-3.4632 -2.2174 1.7451 2.8476 -4.2116 0.2998 1.3126 1.1797 4.1038" Properties=species:S:1:pos:R:3 pbc="T T T"
Os 0.3485 -2.6246 3.0744
Ti 0.6563 0.5898 2.0519
Y 1.4238 -2.1058 0.1499
P 0.0000 0.0000 0.0000
Ti -1.7316 -1.1087 0.8726
```

Space group   P4/mmm
Theoretical density   6.631 g/cm³
Total energy   -38.15 eV/f.u.
Energy of formation from the pure elements   149 meV per atom

(10)
A plane-wave DFT calculation with PBE was carried out for an optimized crystal structure of MnPPt2Au.

Cell and atoms, written as extended XYZ:
```
5
Lattice="4.9754 0.0000 0.0000 0.0000 4.5174 0.0000 0.0000 0.0000 4.9754" Properties=species:S:1:pos:R:3 pbc="T T T"
Pt 0.0000 0.0000 2.4877
Pt 2.4877 0.0000 0.0000
Mn 0.0000 2.2587 0.0000
P 2.4877 2.2587 2.4877
Au 0.0000 0.0000 0.0000
```

Space group   P4/mmm
Theoretical density   9.994 g/cm³
Total energy   -20.76 eV/f.u.
Energy of formation from the pure elements   1835 meV per atom

(11)
A plane-wave DFT calculation with PBE was carried out for an optimized crystal structure of Sc3Se.

Cell and atoms, written as extended XYZ:
```
4
Lattice="4.9415 0.0000 0.0000 2.4707 4.2795 0.0000 2.4707 1.4265 4.0347" Properties=species:S:1:pos:R:3 pbc="T T T"
Sc 4.9415 2.8530 2.0174
Sc 2.4707 1.4265 1.0087
Sc 0.0000 0.0000 0.0000
Se 7.4122 4.2795 3.0260
```

Polymorph energy (0 for the lowest one)   672 meV/atom
Space group   Fm-3m
Theoretical density   4.162 g/cm³
Formation energy (no corrections)   -131 meV per atom
Total energy   -23.00 eV/f.u.

(12)
A plane-wave DFT calculation with PBE was carried out for an optimized crystal structure of Tl2Sn2Te2Se.

Cell and atoms, written as extended XYZ:
```
7
Lattice="4.5921 0.0062 -0.0105 2.3051 8.1455 0.6806 -0.0124 2.8007 7.2659" Properties=species:S:1:pos:R:3 pbc="T T T"
Te 4.5847 3.7216 3.2259
Tl 4.5890 9.9490 6.0101
Se 0.0000 0.0000 0.0000
Sn 4.5968 5.3466 5.6834
Te 2.3001 7.2308 4.7101
Tl 2.2958 1.0034 1.9259
Sn 2.2880 5.6058 2.2526
```

Space group   P-1
Theoretical density   6.193 g/cm³
Formation energy (no corrections)   -233 meV per atom
Total energy   -24.14 eV/f.u.

- What is the theoretical density in the twelfth record?
  6.193 g/cm³